[1]
Below is a PBEsol-optimized structure of ZrZnIr, with properties calculated at the SCAN level.

```
3
Lattice="2.9766 0.0000 0.0000 0.0000 4.3563 0.0000 0.0000 -2.1781 3.7726" Properties=species:S:1:pos:R:3 pbc="T T T"
Zn 2.4819 0.0000 2.5151
Ir 2.4776 0.0000 0.0000
Zr 0.9936 2.1781 1.2575
```

Summary:
Total magnetic moment ... 0.00 μB/f.u.
Final energy ... -39.134 eV/atom
Energy of formation ... -0.70 eV per atom

=====

[2]
Below is a PBEsol-optimized structure of TiPO4, with properties calculated at the SCAN level.

```
12
Lattice="4.8515 0.0861 0.0000 -1.8490 4.4862 0.0000 0.0000 0.0000 5.8170" Properties=species:S:1:pos:R:3 pbc="T T T"
Ti 0.0000 0.0000 2.9085
Ti 0.0000 0.0000 0.0000
P 2.5053 1.6268 1.4543
P 0.4973 2.9455 4.3628
O -0.2236 3.4189 3.1038
O 3.2262 1.1534 0.1953
O 3.2262 1.1534 2.7132
O -0.2236 3.4189 5.6217
O 1.9671 3.5013 4.3628
O 1.0355 1.0709 1.4543
O 2.4313 3.1965 1.4543
O 0.5713 1.3758 4.3628
```

Summary:
Uncorrected formation energy ... -16.703 eV per formula unit
Total magnetic moment ... 0.00 μB/f.u.
Final energy ... -11.343 eV/atom

=====

[3]
Below is a PBEsol-optimized structure of ZrMoAs2, with properties calculated at the SCAN level.

```
4
Lattice="-1.9398 0.5007 4.1173 2.3526 -1.0579 3.7831 1.4245 3.3198 2.8135" Properties=species:S:1:pos:R:3 pbc="T T T"
Mo 0.9187 1.3813 5.3570
As 0.0000 0.0000 0.0000
As 1.3780 2.0719 8.0355
Zr 0.4593 0.6906 2.6785
```

Summary:
Total magnetic moment ... 0.00 μB/f.u.
Final energy ... -26.531 eV/atom
E above lowest polymorph ... 164.5 meV/atom
Energy of formation ... -0.04 eV per atom

=====

[4]
Below is a PBEsol-optimized structure of Os2Ru, with properties calculated at the SCAN level.

```
6
Lattice="2.7155 0.0000 0.0000 -1.3578 4.8957 -0.0009 0.0000 -1.5002 6.1904" Properties=species:S:1:pos:R:3 pbc="T T T"
Os 1.3578 3.5743 4.2942
Os 0.0000 2.0757 6.0236
Os 1.3578 1.3198 0.1659
Os 0.0000 -0.1788 1.8953
Ru 0.0000 2.4546 2.2377
Ru 1.3578 0.9409 3.9519
```

Summary:
Total magnetic moment ... 0.00 μB/f.u.
Final energy ... -59.541 eV/atom
E above lowest polymorph ... 6.6 meV/atom
Energy of formation ... -0.01 eV per atom

=====

[5]
Below is a PBEsol-optimized structure of NiPtRh, with properties calculated at the SCAN level.

```
3
Lattice="-0.1847 -2.9797 -2.6178 0.3773 -3.7545 1.2357 -3.1438 -2.4251 -0.0290" Properties=species:S:1:pos:R:3 pbc="T T T"
Ni -0.7378 -2.2898 -0.3528
Pt 0.0000 0.0000 0.0000
Rh -1.4756 -4.5796 -0.7056
```

Summary:
Total magnetic moment ... 2.15 μB/f.u.
Final energy ... -39.789 eV/atom
E above lowest polymorph ... 325.2 meV/atom
Energy of formation ... 0.26 eV per atom

=====

[6]
Below is a PBEsol-optimized structure of FeNiSb, with properties calculated at the SCAN level.

```
3
Lattice="-0.7384 -2.7366 -1.7178 2.4957 -1.6022 1.4796 -3.2584 1.0517 2.9227" Properties=species:S:1:pos:R:3 pbc="T T T"
Fe -0.0175 -0.0082 0.0207
Ni 0.1028 -2.5338 0.7950
Sb -1.5863 -0.7451 1.8689
```

Summary:
Uncorrected formation energy ... 0.641 eV per formula unit
Total magnetic moment ... 2.87 μB/f.u.
Final energy ... -23.641 eV/atom

=====

[7]
Below is a PBEsol-optimized structure of CaRe2Ir, with properties calculated at the SCAN level.

```
4
Lattice="2.7593 0.0000 0.0000 0.0000 4.8136 0.0000 0.0000 0.0000 4.8136" Properties=species:S:1:pos:R:3 pbc="T T T"
Re 0.0000 0.0000 2.4068
Re 0.0000 2.4068 0.0000
Ca 1.3797 2.4068 2.4068
Ir 1.3797 0.0000 0.0000
```

Summary:
Total magnetic moment ... 0.00 μB/f.u.
Final energy ... -54.940 eV/atom
E above lowest polymorph ... 609.1 meV/atom
Energy of formation ... 0.80 eV per atom

=====

[8]
Below is a PBEsol-optimized structure of In3Hg5, with properties calculated at the SCAN level.

```
8
Lattice="-4.4442 0.7820 1.0176 -0.8644 -6.2798 1.0505 1.5689 0.8912 6.1670" Properties=species:S:1:pos:R:3 pbc="T T T"
Hg 0.0000 0.0000 0.0000
Hg 0.7845 0.4456 3.0835
Hg -0.4322 -3.1399 0.5252
Hg -2.0363 -1.0304 2.4125
Hg -1.7034 -3.5763 5.8225
In 0.3523 -2.6943 3.6087
In -2.5229 -4.2280 2.7443
In -1.2168 -0.3788 5.4907
```

Summary:
Total magnetic moment ... 0.00 μB/f.u.
Final energy ... -55.095 eV/atom
E above lowest polymorph ... 0.8 meV/atom
Energy of formation ... 0.03 eV per atom

=====

[9]
Below is a PBEsol-optimized structure of Ti2CoIr, with properties calculated at the SCAN level.

```
4
Lattice="4.2709 0.0000 0.0000 2.1354 3.6987 0.0000 2.1354 1.2329 3.4871" Properties=species:S:1:pos:R:3 pbc="T T T"
Ir 4.2709 2.4658 1.7436
Co 0.0000 0.0000 0.0000
Ti 2.1354 1.2329 0.8718
Ti 6.4063 3.6987 2.6154
```

Summary:
Total magnetic moment ... 1.66 μB/f.u.
Final energy ... -30.980 eV/atom
Energy of formation ... -0.86 eV per atom

=====

[10]
Below is a PBEsol-optimized structure of La2CuRu, with properties calculated at the SCAN level.

```
4
Lattice="3.9812 0.0000 0.0000 0.0000 4.3140 0.0000 -1.9906 0.0000 5.2899" Properties=species:S:1:pos:R:3 pbc="T T T"
Ru 1.9906 0.0000 2.1897
Cu 1.9906 2.1570 0.5737
La 1.9906 0.0000 5.1118
La 0.0000 2.1570 2.7659
```

Summary:
Total magnetic moment ... 0.00 μB/f.u.
Final energy ... -34.287 eV/atom
Energy of formation ... -0.23 eV per atom

=====

[11]
Below is a PBEsol-optimized structure of KLiCo2Tc, with properties calculated at the SCAN level.

```
5
Lattice="4.3711 0.0000 0.0000 0.0000 4.3711 0.0000 0.0000 0.0000 5.1493" Properties=species:S:1:pos:R:3 pbc="T T T"
K 2.1855 2.1855 2.5746
Co 0.0000 2.1855 0.0000
Co 2.1855 0.0000 0.0000
Tc 0.0000 0.0000 0.0000
Li 0.0000 0.0000 2.5746
```

Summary:
Total magnetic moment ... 3.24 μB/f.u.
Final energy ... -15.057 eV/atom
Energy of formation ... 1.02 eV per atom

=====

[12]
Below is a PBEsol-optimized structure of AlIrRu, with properties calculated at the SCAN level.

```
3
Lattice="2.7660 0.0000 0.0000 0.0000 3.7459 0.0000 -1.3830 -1.8729 3.9733" Properties=species:S:1:pos:R:3 pbc="T T T"
Ru 1.3830 1.8729 1.3173
Ir 0.0000 0.0000 2.6569
Al 1.3830 1.8729 3.9731
```

Summary:
Total magnetic moment ... 0.00 μB/f.u.
Final energy ... -38.304 eV/atom
Energy of formation ... -0.41 eV per atom

=====

[13]
Below is a PBEsol-optimized structure of MnSb2Cl, with properties calculated at the SCAN level.

```
4
Lattice="4.9972 0.0000 0.0000 2.4986 4.3277 0.0000 2.4986 1.4426 4.0802" Properties=species:S:1:pos:R:3 pbc="T T T"
Sb 0.0000 0.0000 0.0000
Sb 7.4958 4.3277 3.0602
Mn 2.4986 1.4426 1.0201
Cl 4.9972 2.8851 2.0401
```

Summary:
Uncorrected formation energy ... 0.055 eV per formula unit
Total magnetic moment ... 4.49 μB/f.u.
Final energy ... -25.175 eV/atom
E above lowest polymorph ... 223.6 meV/atom

=====

[14]
Below is a PBEsol-optimized structure of AlCu2SbPd, with properties calculated at the SCAN level.

```
5
Lattice="4.6914 0.0000 0.0000 0.0000 4.6914 0.0000 0.0000 0.0000 5.0076" Properties=species:S:1:pos:R:3 pbc="T T T"
Sb 0.0000 0.0000 0.0000
Cu 0.0000 2.3457 0.0000
Cu 2.3457 0.0000 0.0000
Pd 0.0000 0.0000 2.5038
Al 2.3457 2.3457 2.5038
```

Summary:
Uncorrected formation energy ... 3.167 eV per formula unit
Total magnetic moment ... 0.00 μB/f.u.
Final energy ... -21.004 eV/atom

=====

[15]
Below is a PBEsol-optimized structure of CoIrOs2, with properties calculated at the SCAN level.

```
4
Lattice="2.7056 0.0000 0.0000 0.0000 4.3447 0.0000 -1.3528 -2.1724 4.5138" Properties=species:S:1:pos:R:3 pbc="T T T"
Co 1.3528 2.1724 0.0255
Ir 1.3528 0.0000 2.5059
Os 1.3528 2.1724 4.4894
Os 0.0000 2.1724 2.0067
```

Summary:
Total magnetic moment ... 1.45 μB/f.u.
Final energy ... -57.596 eV/atom
E above lowest polymorph ... 323.8 meV/atom
Energy of formation ... 0.44 eV per atom